DFT (PBE) results for crystalline Y3GaRh3 at its relaxed geometry.

a = 5.5710 Å, b = 5.5710 Å, c = 13.6506 Å
α = 90.00°, β = 90.00°, γ = 136.68°
Fractional positions:
Y (0.0225, 0.9775, 0.7500)
Y (0.2995, 0.7005, 0.6057)
Y (0.2995, 0.7005, 0.8943)
Y (0.7005, 0.2995, 0.1057)
Y (0.7005, 0.2995, 0.3943)
Y (0.9775, 0.0225, 0.2500)
Ga (0.0000, 0.0000, 0.0000)
Ga (0.0000, 0.0000, 0.5000)
Rh (0.2551, 0.7449, 0.2500)
Rh (0.4143, 0.5857, 0.0885)
Rh (0.4143, 0.5857, 0.4115)
Rh (0.5857, 0.4143, 0.5885)
Rh (0.5857, 0.4143, 0.9115)
Rh (0.7449, 0.2551, 0.7500)

The formation energy is -0.8540 eV per atom. The calculation puts the total energy at -7.21 eV per atom.

***

DFT (PBE) results for crystalline CaGeAs2 at its relaxed geometry.

a = 6.1778 Å, b = 6.1266 Å, c = 11.8118 Å
α = 90.00°, β = 118.52°, γ = 90.00°
Fractional positions:
Ca (0.0949, 0.2283, 0.1228)
Ca (0.0949, 0.7717, 0.6228)
Ca (0.9051, 0.2283, 0.3772)
Ca (0.9051, 0.7717, 0.8772)
Ge (0.4976, 0.3722, 0.8799)
Ge (0.4976, 0.6278, 0.3799)
Ge (0.5024, 0.3722, 0.6201)
Ge (0.5024, 0.6278, 0.1201)
As (0.1470, 0.2811, 0.6637)
As (0.1470, 0.7189, 0.1637)
As (0.4478, 0.2253, 0.4123)
As (0.4478, 0.7747, 0.9123)
As (0.5522, 0.2253, 0.0877)
As (0.5522, 0.7747, 0.5877)
As (0.8530, 0.2811, 0.8363)
As (0.8530, 0.7189, 0.3363)

The formation energy is -0.4797 eV per atom. The calculation puts the total energy at -4.46 eV per atom.

***

DFT (PBE) results for crystalline YGa2TcNi at its relaxed geometry.

a = 5.3635 Å, b = 5.3635 Å, c = 4.8887 Å
α = 90.00°, β = 90.00°, γ = 90.00°
Fractional positions:
Y (0.0000, 0.0000, 0.0000)
Ga (0.0000, 0.5000, 0.0000)
Ga (0.5000, 0.0000, 0.0000)
Tc (0.0000, 0.0000, 0.5000)
Ni (0.5000, 0.5000, 0.5000)

The formation energy is 1.7093 eV per atom. The calculation puts the total energy at -4.02 eV per atom.

***

DFT (PBE) results for crystalline NaSi3W at its relaxed geometry.

a = 4.8098 Å, b = 4.8098 Å, c = 4.8098 Å
α = 90.00°, β = 90.00°, γ = 90.00°
Fractional positions:
Na (0.0000, 0.0000, 0.0000)
Si (0.0000, 0.5000, 0.5000)
Si (0.5000, 0.0000, 0.5000)
Si (0.5000, 0.5000, 0.0000)
W (0.5000, 0.5000, 0.5000)

Its formation energy (no corrections) is 0.323 eV/atom. The calculation puts the total energy at -5.79 eV per atom.

***

DFT (PBE) results for crystalline DyCoMo at its relaxed geometry.

a = 6.2463 Å, b = 6.2463 Å, c = 6.5438 Å
α = 90.00°, β = 90.00°, γ = 90.00°
Fractional positions:
Dy (0.2323, 0.2323, 0.0000)
Dy (0.2677, 0.7323, 0.2500)
Dy (0.7323, 0.2677, 0.7500)
Dy (0.7677, 0.7677, 0.5000)
Co (0.0710, 0.9290, 0.7500)
Co (0.4290, 0.4290, 0.5000)
Co (0.5710, 0.5710, 0.0000)
Co (0.9290, 0.0710, 0.2500)
Mo (0.1664, 0.1664, 0.5000)
Mo (0.3336, 0.6664, 0.7500)
Mo (0.6664, 0.3336, 0.2500)
Mo (0.8336, 0.8336, 0.0000)

The formation energy is 0.4431 eV per atom. The calculation puts the total energy at -7.07 eV per atom.

***

DFT (PBE) results for crystalline HoEr2F8 at its relaxed geometry.

a = 6.1750 Å, b = 6.1750 Å, c = 4.1809 Å
α = 98.11°, β = 98.11°, γ = 112.77°
Fractional positions:
Ho (0.0000, 0.0000, 0.0000)
Er (0.3171, 0.6829, 0.5000)
Er (0.6829, 0.3171, 0.5000)
F (0.0614, 0.3367, 0.5989)
F (0.2289, 0.7711, 0.0000)
F (0.3367, 0.0614, 0.5989)
F (0.3628, 0.3628, 0.2031)
F (0.6372, 0.6372, 0.7969)
F (0.6633, 0.9386, 0.4011)
F (0.7711, 0.2289, 0.0000)
F (0.9386, 0.6633, 0.4011)

Its formation energy (no corrections) is -3.796 eV/atom. The calculation puts the total energy at -6.40 eV per atom.

***

DFT (PBE) results for crystalline PuPaSbTe at its relaxed geometry.

a = 5.3263 Å, b = 5.3263 Å, c = 5.3263 Å
α = 60.00°, β = 60.00°, γ = 60.00°
Fractional positions:
Pu (0.0000, 0.0000, 0.0000)
Pa (0.5000, 0.5000, 0.5000)
Sb (0.2500, 0.2500, 0.2500)
Te (0.7500, 0.7500, 0.7500)

Its formation energy (no corrections) is -0.690 eV/atom. The calculation puts the total energy at -8.46 eV per atom.

***

DFT (PBE) results for crystalline CsRuPb3 at its relaxed geometry.

a = 5.4638 Å, b = 5.4638 Å, c = 5.4638 Å
α = 90.00°, β = 90.00°, γ = 90.00°
Fractional positions:
Cs (0.0000, 0.0000, 0.0000)
Ru (0.5000, 0.5000, 0.5000)
Pb (0.0000, 0.5000, 0.5000)
Pb (0.5000, 0.0000, 0.5000)
Pb (0.5000, 0.5000, 0.0000)

The formation energy is 0.2623 eV per atom. The calculation puts the total energy at -3.99 eV per atom.

***

DFT (PBE) results for crystalline Nd6P2PtCl3 at its relaxed geometry.

a = 9.4587 Å, b = 9.4587 Å, c = 8.6183 Å
α = 103.13°, β = 103.13°, γ = 24.95°
Fractional positions:
Nd (0.0070, 0.0070, 0.2293)
Nd (0.3253, 0.3253, 0.4359)
Nd (0.3351, 0.3351, 0.8946)
Nd (0.6649, 0.6649, 0.1054)
Nd (0.6747, 0.6747, 0.5641)
Nd (0.9930, 0.9930, 0.7707)
P (0.1674, 0.1674, 0.3343)
P (0.8326, 0.8326, 0.6657)
Pt (0.5000, 0.5000, 0.0000)
Cl (0.1660, 0.1660, 0.8272)
Cl (0.5000, 0.5000, 0.5000)
Cl (0.8340, 0.8340, 0.1728)

Its formation energy (no corrections) is -1.490 eV/atom. The calculation puts the total energy at -5.74 eV per atom.

***

DFT (PBE) results for crystalline Si3Cl at its relaxed geometry.

a = 3.1718 Å, b = 3.1718 Å, c = 7.5181 Å
α = 90.00°, β = 90.00°, γ = 108.79°
Fractional positions:
Si (0.0000, 0.0000, 0.0000)
Si (0.5000, 0.5000, 0.2169)
Si (0.5000, 0.5000, 0.7831)
Cl (0.0000, 0.0000, 0.5000)

Its formation energy (no corrections) is 0.421 eV/atom. The calculation puts the total energy at -4.11 eV per atom.

***

DFT (PBE) results for crystalline CsInHW2 at its relaxed geometry.

a = 4.1798 Å, b = 4.1798 Å, c = 5.7989 Å
α = 90.00°, β = 90.00°, γ = 90.00°
Fractional positions:
Cs (0.0000, 0.0000, 0.0000)
In (0.5000, 0.5000, 0.0000)
H (0.5000, 0.5000, 0.5000)
W (0.0000, 0.5000, 0.5000)
W (0.5000, 0.0000, 0.5000)

The calculation puts the total energy at -4.81 eV per atom.

***

DFT (PBE) results for crystalline ErScAlZn at its relaxed geometry.

a = 4.9043 Å, b = 4.9043 Å, c = 4.9043 Å
α = 60.00°, β = 60.00°, γ = 60.00°
Fractional positions:
Er (0.0000, 0.0000, 0.0000)
Sc (0.5000, 0.5000, 0.5000)
Al (0.7500, 0.7500, 0.7500)
Zn (0.2500, 0.2500, 0.2500)

The formation energy is -0.3875 eV per atom. The calculation puts the total energy at -4.37 eV per atom.